The following is a DFT calculation (GGA-PBE) of a relaxed CoW crystal.

```
CoW
1.0
4.246 0.000 0.000
2.123 3.677 0.000
-2.123 1.226 3.467
W Co
2 2
Direct
0.500 0.750 0.750
0.000 0.500 0.500
0.500 0.250 0.250
0.000 0.000 0.000
```

Computed properties:
magnetic moment = 0.01 μB/cell
formation energy = 0.6 eV per formula unit

---

The following is a DFT calculation (GGA-PBE) of a relaxed Tc2AgMo crystal.

```
Tc2AgMo
1.0
3.984 0.000 0.000
0.000 3.984 0.000
0.000 0.000 3.863
Mo Tc Ag
1 2 1
Direct
0.000 0.500 0.500
0.000 0.000 0.000
0.500 0.500 0.000
0.500 0.000 0.500
```

Computed properties:
magnetic moment = 0.00 μB/cell
formation energy = 1.6 eV per formula unit
energy relative to the lowest polymorph listed for this composition = 0.53 eV/f.u.

---

The following is a DFT calculation (GGA-PBE) of a relaxed LiAlAg4 crystal.

```
LiAlAg4
1.0
1.311 -3.923 3.598
-2.252 0.001 4.998
-3.686 -3.827 1.346
Ag Al Li
4 1 1
Direct
0.375 0.375 0.375
0.375 0.375 0.875
0.375 0.875 0.375
0.875 0.375 0.375
0.750 0.750 0.750
0.000 0.000 0.000
```

Computed properties:
magnetic moment = 0.00 μB/cell
formation energy = 0.5 eV per formula unit
energy relative to the lowest polymorph listed for this composition = 1.16 eV/f.u.